Entry 1:
Entry from Alexandria via LeMat-Bulk: a relaxed structure of NaVGa2Ru (GGA-PBE).

Structure (POSCAR):
```
NaVGa2Ru
1.0
5.1966 0.0000 0.0000
0.0000 4.3838 0.0000
0.0000 0.0000 5.1966
Ru Na Ga V
1 1 2 1
Cartesian
0.0000 2.1919 0.0000
2.5983 2.1919 2.5983
0.0000 0.0000 2.5983
2.5983 0.0000 0.0000
0.0000 0.0000 0.0000
```

The formation enthalpy at 0 K comes out at 49.7 kJ per mole of atoms. The calculation puts the magnetization at 0.0 μB/cell. As for the total energy: -23.19 eV per cell. The space group is No. 123.



Entry 2:
Entry from Alexandria via LeMat-Bulk: a relaxed structure of CaTe2 (GGA-PBE).

Structure (POSCAR):
```
CaTe2
1.0
-2.1694 3.5902 -4.3862
2.4731 -5.3597 -1.4114
-14.4988 -7.0575 1.3944
Ca Te
4 8
Cartesian
-12.2657 -8.7974 -1.1343
-6.5638 -2.2854 -2.8231
-1.9294 -0.0295 -3.2688
-7.6313 -6.5415 -1.5800
0.0000 0.0000 0.0000
-7.2494 -3.5287 0.6972
-3.7787 -2.3587 -4.2607
-10.4164 -6.4682 -0.1424
-3.9322 -1.4642 -1.3300
-5.0289 0.3507 -3.5472
-9.1662 -9.1776 -0.8559
-10.2629 -7.3627 -3.0732
```

The calculation puts the magnetization at 0.0 μB/cell. As for the total energy: -39.84 eV per cell. The space group is No. 194.



Entry 3:
Entry from Alexandria via LeMat-Bulk: a relaxed structure of BeMoSN2 (GGA-PBE).

Structure (POSCAR):
```
BeMoSN2
1.0
3.8130 0.0000 0.0000
0.0000 3.8130 0.0000
0.0000 0.0000 5.1287
Be Mo S N
1 1 1 2
Cartesian
1.9065 1.9065 2.5644
0.0000 0.0000 0.0000
0.0000 0.0000 2.5644
0.0000 1.9065 0.0000
1.9065 0.0000 0.0000
```

The calculation puts the offset from the most stable computed form at 0 meV/atom. The calculation puts the magnetization at 0.0 μB/cell. As for the total energy: -32.12 eV per cell. The space group is No. 123.



Entry 4:
Entry from Alexandria via LeMat-Bulk: a relaxed structure of LiCeHoMo (GGA-PBE).

Structure (POSCAR):
```
LiCeHoMo
1.0
-4.5422 -1.1489 -1.6715
-0.6008 -3.7919 -3.1632
-2.2268 -4.1798 1.5220
Mo Ho Ce Li
1 1 1 1
Cartesian
-1.8424 -2.2802 -0.8282
-3.6849 -4.5603 -1.6564
0.0000 0.0000 0.0000
-5.5273 -6.8405 -2.4846
```

The formation enthalpy at 0 K comes out at 19.2 kJ per mole of atoms. The calculation puts the magnetization at 0.0 μB/cell. As for the total energy: -22.46 eV per cell. The space group is No. 216.



Entry 5:
Entry from Alexandria via LeMat-Bulk: a relaxed structure of Y2TlHgI (GGA-PBE).

Structure (POSCAR):
```
Y2TlHgI
1.0
5.8392 0.0000 0.0000
0.0000 5.7179 0.0000
0.0000 0.0000 5.8392
I Y Tl Hg
1 2 1 1
Cartesian
2.9196 2.8590 2.9196
0.0000 0.0000 2.9196
2.9196 0.0000 0.0000
0.0000 0.0000 0.0000
0.0000 2.8590 0.0000
```

The calculation puts the magnetization at 0.0 μB/cell. As for the total energy: -16.21 eV per cell. The space group is No. 123.



Entry 6:
Entry from Alexandria via LeMat-Bulk: a relaxed structure of CeNiAs2Pd2 (GGA-PBE).

Structure (POSCAR):
```
CeNiAs2Pd2
1.0
4.9435 0.0000 0.0000
0.0000 4.9435 0.0000
-2.4717 -2.4717 5.2085
Ce Ni As Pd
1 1 2 2
Cartesian
2.4717 2.4717 0.0000
0.0000 0.0000 0.0000
2.4717 2.4717 3.0256
0.0000 0.0000 2.1829
0.0000 2.4717 2.6043
2.4717 0.0000 2.6043
```

The formation enthalpy at 0 K comes out at -30.0 kJ per mole of atoms. The calculation puts the magnetization at 1.0 μB/cell. As for the total energy: -33.27 eV per cell. The space group is No. 139.



Entry 7:
Entry from Alexandria via LeMat-Bulk: a relaxed structure of HoGa2NiPt4 (GGA-PBE).

Structure (POSCAR):
```
HoGa2NiPt4
1.0
-2.6429 3.4285 0.0416
-3.9307 -0.2752 -1.7930
-5.2806 -1.4172 6.5676
Ho Ga Ni Pt
1 2 1 4
Cartesian
0.0000 0.0000 0.0000
-8.8111 1.3657 3.4279
-3.0432 0.3705 1.3883
-5.9271 0.8681 2.4081
-6.8730 0.1124 4.5976
-7.7808 2.1889 1.0429
-4.0734 -0.4527 3.7733
-4.9813 1.6238 0.2186
```

The formation enthalpy at 0 K comes out at -66.7 kJ per mole of atoms. The calculation puts the magnetization at 0.0 μB/cell. As for the total energy: -46.10 eV per cell. The space group is No. 166.



Entry 8:
Entry from Alexandria via LeMat-Bulk: a relaxed structure of ReSi2Pb (GGA-PBE).

Structure (POSCAR):
```
ReSi2Pb
1.0
-0.8827 1.6828 -2.7350
3.7354 -1.7601 -2.2885
-2.4867 -3.5118 -1.3581
Pb Re Si
1 1 2
Cartesian
-1.6847 -0.9145 -2.0465
0.6244 -2.6359 -1.8233
0.0000 0.0000 0.0000
1.4264 -0.0387 -2.5118
```

The calculation puts the magnetization at 0.0 μB/cell. As for the total energy: -22.98 eV per cell. The space group is No. 47.



Entry 9:
Entry from Alexandria via LeMat-Bulk: a relaxed structure of AlPIr (GGA-PBE).

Structure (POSCAR):
```
AlPIr
1.0
4.0108 0.0000 0.0000
2.0054 3.4735 0.0000
2.0054 1.1578 3.2748
P Ir Al
1 1 1
Cartesian
6.0162 3.4735 2.4561
4.0108 2.3156 1.6374
0.0000 0.0000 0.0000
```

The formation enthalpy at 0 K comes out at -10.2 kJ per mole of atoms. The calculation puts the magnetization at 0.0 μB/cell. As for the total energy: -18.33 eV per cell. The space group is No. 216.



Entry 10:
Entry from Alexandria via LeMat-Bulk: a relaxed structure of Na4Si (GGA-PBE).

Structure (POSCAR):
```
Na4Si
1.0
5.6704 0.0000 0.0000
0.0000 5.6704 0.0000
0.0000 0.0000 5.6704
Na Si
4 1
Cartesian
0.0000 0.0000 0.0000
2.8352 0.0000 2.8352
0.0000 2.8352 2.8352
2.8352 2.8352 0.0000
2.8352 2.8352 2.8352
```

The calculation puts the magnetization at 0.0 μB/cell. As for the total energy: -9.59 eV per cell. The space group is No. 221.



Entry 11:
Entry from Alexandria via LeMat-Bulk: a relaxed structure of LiTlAg3 (GGA-PBE).

Structure (POSCAR):
```
LiTlAg3
1.0
4.7231 0.0000 0.0000
0.0000 4.7231 0.0000
0.0000 0.0000 4.7231
Tl Ag Li
1 3 1
Cartesian
2.3615 2.3615 2.3615
0.0000 2.3615 0.0000
0.0000 0.0000 2.3615
2.3615 0.0000 0.0000
0.0000 0.0000 0.0000
```

The formation enthalpy at 0 K comes out at 29.1 kJ per mole of atoms. The calculation puts the offset from the most stable computed form at 257 meV/atom. The calculation puts the magnetization at 0.0 μB/cell. As for the total energy: -11.32 eV per cell. The space group is No. 221.



Entry 12:
Entry from Alexandria via LeMat-Bulk: a relaxed structure of Ho2MgSnC (GGA-PBE).

Structure (POSCAR):
```
Ho2MgSnC
1.0
4.4203 0.0000 0.0000
0.0000 4.9041 0.0000
0.0000 0.0000 4.9041
Ho Mg Sn C
2 1 1 1
Cartesian
0.0000 0.0000 2.4520
0.0000 2.4520 0.0000
2.2101 0.0000 0.0000
2.2101 2.4520 2.4520
0.0000 0.0000 0.0000
```

The formation enthalpy at 0 K comes out at -48.7 kJ per mole of atoms. The calculation puts the magnetization at 0.0 μB/cell. As for the total energy: -26.50 eV per cell. The space group is No. 123.



Entry 13:
Entry from Alexandria via LeMat-Bulk: a relaxed structure of HgMo4P (GGA-PBE).

Structure (POSCAR):
```
HgMo4P
1.0
-1.5933 1.4227 4.8371
0.8494 4.9272 1.7208
-4.0610 3.3380 0.5707
Hg Mo P
1 4 1
Cartesian
0.0000 0.0000 0.0000
-0.9548 4.3802 4.1776
-3.4406 3.5757 3.5953
-3.0106 6.0700 4.4665
-2.2040 5.3498 2.0178
-1.2013 2.4220 1.7821
```

The formation enthalpy at 0 K comes out at 70.4 kJ per mole of atoms. The calculation puts the magnetization at 0.0 μB/cell. As for the total energy: -44.66 eV per cell. The space group is No. 216.



Entry 14:
Entry from Alexandria via LeMat-Bulk: a relaxed structure of PbSCl2O (GGA-PBE).

Structure (POSCAR):
```
PbSCl2O
1.0
-4.5408 2.8215 -0.5085
-2.8647 -4.4277 1.0138
0.1156 1.1504 5.3511
Pb S O Cl
1 1 1 2
Cartesian
0.0000 0.0000 0.0000
0.0578 0.5752 2.6756
-3.6450 -0.2279 2.9282
-1.4324 -2.2138 0.5069
-2.2704 1.4108 -0.2543
```

The calculation puts the offset from the most stable computed form at 299 meV/atom. The calculation puts the magnetization at 3.1 μB/cell. As for the total energy: -14.17 eV per cell. The space group is No. 123.



Entry 15:
Entry from Alexandria via LeMat-Bulk: a relaxed structure of La6Tm2Pu (GGA-PBE).

Structure (POSCAR):
```
La6Tm2Pu
1.0
-4.8851 -4.6772 -3.1496
8.5953 -4.7680 -4.5600
6.7691 -7.9257 2.9618
La Tm Pu
12 4 2
Cartesian
5.5420 -10.1059 -2.8969
2.4948 -9.6035 -3.4258
4.9373 -7.2649 -1.8509
7.9845 -7.7674 -1.3220
5.5775 -11.6776 -6.3197
3.5486 -6.1478 -4.4909
4.9018 -5.6933 1.5719
6.9308 -11.2231 -0.2568
5.9912 -3.8092 -2.9163
8.0201 -9.3389 -4.7450
4.4881 -13.5616 -1.8315
2.4592 -8.0320 -0.0028
10.0260 -10.5629 -2.0001
2.8959 -4.4693 -1.1730
0.4533 -6.8080 -2.7477
7.5834 -12.9015 -3.5748
5.5480 -9.0947 2.1738
4.9313 -8.2761 -6.9216
```

The formation enthalpy at 0 K comes out at 20.6 kJ per mole of atoms. The calculation puts the magnetization at 11.5 μB/cell. As for the total energy: -101.83 eV per cell. The space group is No. 12.



Entry 16:
Entry from Alexandria via LeMat-Bulk: a relaxed structure of TaV (GGA-PBE).

Structure (POSCAR):
```
TaV
1.0
-3.3196 -0.8882 -6.1971
5.9750 -2.5433 -2.8361
-1.8687 -6.5541 1.9404
Ta V
6 6
Cartesian
-1.7643 -3.4991 -0.5791
-3.4241 -3.9432 -3.6776
2.5203 -2.9102 -0.9330
1.5860 -6.1872 0.0373
-0.1660 -1.0799 -3.8076
2.8215 -2.3516 -5.2256
2.1576 -1.4937 -2.9673
0.4978 -1.9378 -6.0659
-2.1270 -2.0826 -2.6135
-3.0613 -5.3597 -1.6432
0.5594 -3.9128 0.2612
3.5469 -5.1845 -1.1569
```

The formation enthalpy at 0 K comes out at 269.6 kJ per mole of atoms. The calculation puts the offset from the most stable computed form at 2767 meV/atom. The calculation puts the magnetization at 10.4 μB/cell. As for the total energy: -92.29 eV per cell. The space group is No. 223.



Entry 17:
Entry from Alexandria via LeMat-Bulk: a relaxed structure of LaHo2IO8 (GGA-PBE).

Structure (POSCAR):
```
LaHo2IO8
1.0
-0.9748 -4.2013 2.5913
0.0771 -2.6803 -4.2606
6.8977 -1.0975 0.8153
La Ho I O
1 2 1 8
Cartesian
3.4488 -0.5488 0.4076
4.7244 -4.2639 -0.2232
1.2756 -3.7152 -0.6308
0.0000 0.0000 0.0000
1.2488 -3.1743 -2.8339
-0.6567 -5.0397 -1.2280
0.5841 -4.1418 1.4874
4.7512 -4.8048 1.9799
6.6567 -2.9394 0.3741
5.4159 -3.8374 -2.3414
2.8377 -5.2380 -0.7345
3.1623 -2.7411 -0.1195
```

The calculation puts the magnetization at 0.0 μB/cell. As for the total energy: -83.37 eV per cell. The space group is No. 10.



Entry 18:
Entry from Alexandria via LeMat-Bulk: a relaxed structure of Zr2UAg (GGA-PBE).

Structure (POSCAR):
```
Zr2UAg
1.0
3.0923 0.0000 0.0000
0.0000 5.2175 0.0000
0.0000 0.0000 5.2175
U Zr Ag
1 2 1
Cartesian
1.5461 0.0000 0.0000
0.0000 0.0000 2.6087
0.0000 2.6087 0.0000
1.5461 2.6087 2.6087
```

The formation enthalpy at 0 K comes out at 14.0 kJ per mole of atoms. The calculation puts the offset from the most stable computed form at 0 meV/atom. The calculation puts the magnetization at 1.4 μB/cell. As for the total energy: -30.66 eV per cell. The space group is No. 123.



Entry 19:
Entry from Alexandria via LeMat-Bulk: a relaxed structure of La2ErGe4Au3 (GGA-PBE).

Structure (POSCAR):
```
La2ErGe4Au3
1.0
4.5026 0.0000 0.0000
0.0000 4.5026 0.0000
0.0000 0.0000 11.2470
La Er Ge Au
2 1 4 3
Cartesian
2.2513 0.0000 2.5998
0.0000 2.2513 8.6472
2.2513 2.2513 5.6235
2.2513 2.2513 0.0000
0.0000 0.0000 0.0000
2.2513 0.0000 7.3232
0.0000 2.2513 3.9238
0.0000 0.0000 5.6235
2.2513 0.0000 9.8716
0.0000 2.2513 1.3754
```

The formation enthalpy at 0 K comes out at -65.5 kJ per mole of atoms. The calculation puts the magnetization at 0.0 μB/cell. As for the total energy: -49.51 eV per cell. The space group is No. 115.



Entry 20:
Entry from Alexandria via LeMat-Bulk: a relaxed structure of TlFeTc (GGA-PBE).

Structure (POSCAR):
```
TlFeTc
1.0
6.0391 -0.0490 0.0519
5.3506 2.8006 0.0533
0.6885 0.1649 2.8448
Fe Tc Tl
1 1 1
Cartesian
0.9091 0.2182 2.7883
7.5539 1.8244 1.0872
4.3036 1.0387 1.9193
```

The formation enthalpy at 0 K comes out at 47.3 kJ per mole of atoms. The calculation puts the offset from the most stable computed form at 0 meV/atom. The calculation puts the magnetization at 1.5 μB/cell. As for the total energy: -19.73 eV per cell. The space group is No. 107.